Entry 1:
## Dy4ThCu5 (PBE-GGA)

Data for a relaxed Dy4ThCu5 crystal.

The structure in POSCAR format:
```
Dy4ThCu5
1.0
3.4627 0.0000 0.0000
0.0000 3.4627 0.0000
0.0000 0.0000 17.6978
Cu Th Dy
5 1 4
Cartesian
1.7313 1.7313 1.9479
1.7313 1.7313 12.3424
1.7313 1.7313 8.8489
1.7313 1.7313 5.3554
1.7313 1.7313 15.7499
0.0000 0.0000 0.0000
0.0000 0.0000 3.6328
0.0000 0.0000 7.1021
0.0000 0.0000 10.5957
0.0000 0.0000 14.0650
```

Computed properties:
**Symmetry**: No. 123
**E_form**: -0.21 eV/atom

=====

Entry 2:
## CeSc3Ni (PBE-GGA)

Data for a relaxed CeSc3Ni crystal.

The structure in POSCAR format:
```
CeSc3Ni
1.0
-0.2676 4.7493 -1.4607
-3.4733 0.8673 3.4561
3.5532 1.2054 3.2684
Ni Ce Sc
1 1 3
Cartesian
0.0000 0.0000 0.0000
-0.0938 3.4110 2.6319
1.7766 0.6027 1.6342
-0.1338 2.3746 -0.7303
-1.7366 0.4336 1.7281
```

Computed properties:
**Symmetry**: No. 221
**E_form**: -0.05 eV/atom

=====

Entry 3:
## LaTc2Te (PBE-GGA)

Data for a relaxed LaTc2Te crystal.

The structure in POSCAR format:
```
LaTc2Te
1.0
5.5313 0.0003 0.0007
-2.7852 4.8373 -0.0007
-0.0392 1.0786 3.0446
Tc Te La
2 1 1
Cartesian
0.0000 0.0000 0.0000
2.7461 0.5394 1.5227
-1.4122 2.9580 1.5219
1.3730 2.4188 0.0000
```

Computed properties:
**Symmetry**: No. 12
**Formation energy without anion corrections**: 417.2 meV per atom

=====

Entry 4:
## Ho4TlAgHg2 (PBE-GGA)

Data for a relaxed Ho4TlAgHg2 crystal.

The structure in POSCAR format:
```
Ho4TlAgHg2
1.0
-0.9177 1.3423 4.9689
-4.9088 0.7178 1.6500
-2.4332 -7.6230 4.3604
Ag Ho Tl Hg
1 4 1 2
Cartesian
-4.1298 -2.7815 5.4896
-4.3097 -5.8258 6.2788
-3.9499 0.2629 4.7005
-2.2454 -4.4445 3.5364
-6.0143 -1.1184 7.4428
0.0000 0.0000 0.0000
-2.0667 -1.4215 2.7528
-6.1929 -4.1414 8.2264
```

Computed properties:
**Symmetry**: No. 166
**E_form**: -0.40 eV/atom

=====

Entry 5:
## SmGa4Au (PBE-GGA)

Data for a relaxed SmGa4Au crystal.

The structure in POSCAR format:
```
SmGa4Au
1.0
-4.5189 -2.1859 -2.3096
-3.9346 -2.2152 3.1850
-4.8787 2.5392 0.5323
Ga Sm Au
4 1 1
Cartesian
-6.0742 -0.0722 2.0324
-6.3658 -0.0575 -0.7104
-5.8946 -2.4308 0.6138
-8.3299 -1.1633 0.8795
-3.3330 -0.4655 0.3519
0.0000 0.0000 0.0000
```

Computed properties:
**Symmetry**: No. 216
**E_form**: -0.26 eV/atom

=====

Entry 6:
## ZrRe2P2 (PBE-GGA)

Data for a relaxed ZrRe2P2 crystal.

The structure in POSCAR format:
```
ZrRe2P2
1.0
4.3338 0.0000 0.0000
0.0000 4.3338 0.0000
2.1669 2.1669 4.4480
Re P Zr
2 2 1
Cartesian
4.3338 4.3338 3.2701
2.1669 2.1669 1.1779
4.3338 2.1669 2.2240
2.1669 4.3338 2.2240
0.0000 0.0000 0.0000
```

Computed properties:
**Symmetry**: No. 139
**E_form**: -0.27 eV/atom

=====

Entry 7:
## Ag2GeIr2 (PBE-GGA)

Data for a relaxed Ag2GeIr2 crystal.

The structure in POSCAR format:
```
Ag2GeIr2
1.0
6.2259 0.0000 0.0000
0.0000 6.2259 0.0000
0.0000 0.0000 4.5132
Ge Ag Ir
2 4 4
Cartesian
0.0000 0.0000 0.0000
3.1129 3.1129 0.0000
5.1864 2.0735 2.2566
4.1524 5.1864 2.2566
2.0735 1.0395 2.2566
1.0395 4.1524 2.2566
0.8845 2.2284 0.0000
5.3414 3.9975 0.0000
3.9975 0.8845 0.0000
2.2284 5.3414 0.0000
```

Computed properties:
**Symmetry**: No. 127
**E_form**: 0.12 eV/atom

=====

Entry 8:
## NbCuPCl2 (PBE-GGA)

Data for a relaxed NbCuPCl2 crystal.

The structure in POSCAR format:
```
NbCuPCl2
1.0
-0.4712 0.2853 -4.7683
3.1363 -3.5955 -0.5250
-3.7492 -3.2957 0.1733
P Cl Nb Cu
1 2 1 1
Cartesian
-1.8746 -1.6478 0.0867
1.5682 -1.7978 -0.2625
-0.2356 0.1426 -2.3841
0.0000 0.0000 0.0000
-0.5420 -3.3030 -2.5600
```

Computed properties:
**Symmetry**: No. 123
**Formation energy without anion corrections**: 90.9 meV per atom

=====

Entry 9:
## Y2AlCd2 (PBE-GGA)

Data for a relaxed Y2AlCd2 crystal.

The structure in POSCAR format:
```
Y2AlCd2
1.0
-6.5837 1.3452 2.7839
-2.8692 -0.2180 -6.6802
-0.7520 -4.6635 0.4752
Y Cd Al
4 4 2
Cartesian
-7.1720 -1.6099 -3.4328
-3.0328 -1.9264 0.0116
-6.7783 -1.2882 0.3475
-3.4266 -2.2481 -3.7686
-4.8743 0.3011 -4.7579
-4.5786 0.8261 0.8616
-7.5127 1.0234 -1.8445
-1.9402 0.1038 -2.0518
-4.7265 0.5636 -1.9482
0.0000 0.0000 0.0000
```

Computed properties:
**Symmetry**: No. 127
**E_form**: -0.27 eV/atom

=====

Entry 10:
## In2FeIr (PBE-GGA)

Data for a relaxed In2FeIr crystal.

The structure in POSCAR format:
```
In2FeIr
1.0
-2.2746 -1.9604 -6.7310
-0.6919 -6.9791 2.2664
-4.1491 -3.9610 -1.4796
Fe In Ir
2 4 2
Cartesian
-1.4832 -4.4697 -2.2323
-3.1621 -7.7049 -0.7227
-1.7489 -5.5928 0.2205
-5.7091 -10.8086 -5.0110
-2.5505 -3.0923 -4.3088
-4.2227 -6.3072 -2.7891
-3.9535 -5.1956 -5.2214
0.0000 0.0000 0.0000
```

Computed properties:
**Symmetry**: No. 122
**E_form**: 0.51 eV/atom

=====

Entry 11:
## Rb2Pr2SbO6 (PBE-GGA)

Data for a relaxed Rb2Pr2SbO6 crystal.

The structure in POSCAR format:
```
Rb2Pr2SbO6
1.0
-4.0392 -1.6630 -4.3685
5.9132 0.9509 -1.5149
0.8012 -6.2880 2.9656
O Rb Pr Sb
6 2 2 1
Cartesian
0.2129 -3.0736 -4.1592
1.9495 -4.7477 -2.4502
-0.6422 -4.7419 0.3512
2.4622 -3.9265 1.2413
0.7257 -2.2524 -0.4677
3.3173 -2.2583 -3.2691
4.3063 0.5288 -1.9757
-2.4323 -1.2410 -3.9078
-0.3047 -3.9314 -1.9298
2.9799 -3.0688 -0.9881
0.4006 -3.1440 1.4828
```

Computed properties:
**Symmetry**: No. 12
**Formation energy without anion corrections**: -2166.5 meV per atom

=====

Entry 12:
## In3Sn3Pb (PBE-GGA)

Data for a relaxed In3Sn3Pb crystal.

The structure in POSCAR format:
```
In3Sn3Pb
1.0
-5.8495 -1.3856 5.3978
5.1489 -4.3375 4.4664
2.1319 6.6738 4.0235
Sn Pb In
6 2 6
Cartesian
4.1734 2.8366 5.2508
-3.3212 2.2977 6.0601
-0.3964 2.9905 3.3612
0.9369 -3.9459 6.0487
3.1074 -0.5003 3.2391
-1.6376 -1.7772 3.8155
0.0000 0.0000 0.0000
0.7156 0.4754 6.9438
-2.3918 0.9757 3.7048
1.1120 -2.5151 3.5826
-1.3258 4.3125 5.7165
-1.8127 -3.2079 6.2815
4.9276 0.0838 5.3615
2.3532 2.2525 3.1283
```

Computed properties:
**Symmetry**: No. 223
**E_form**: 0.41 eV/atom

=====

Entry 13:
## SmY2ThSc (PBE-GGA)

Data for a relaxed SmY2ThSc crystal.

The structure in POSCAR format:
```
SmY2ThSc
1.0
5.0198 0.0000 0.0000
0.0000 7.6484 1.7099
0.0000 -1.7901 7.6834
Th Sm Y Sc
2 2 4 2
Cartesian
3.7648 0.1482 1.2283
1.2549 5.7100 8.1651
3.7648 0.5623 6.1588
1.2549 5.2959 3.2345
1.2549 2.5664 0.9706
3.7648 5.4484 5.6820
1.2549 0.4099 3.7113
3.7648 3.2918 8.4227
3.7648 2.8099 3.4687
1.2549 3.0484 5.9246
```

Computed properties:
**Symmetry**: No. 11
**E_form**: 0.06 eV/atom

=====

Entry 14:
## VGaSe3 (PBE-GGA)

Data for a relaxed VGaSe3 crystal.

The structure in POSCAR format:
```
VGaSe3
1.0
4.9245 0.0000 0.0000
0.0000 4.9245 0.0000
0.0000 0.0000 4.9245
V Se Ga
1 3 1
Cartesian
2.4622 2.4622 2.4622
0.0000 2.4622 0.0000
0.0000 0.0000 2.4622
2.4622 0.0000 0.0000
0.0000 0.0000 0.0000
```

Computed properties:
**Symmetry**: No. 221
**Formation energy without anion corrections**: 460.2 meV per atom

=====

Entry 15:
## ReTc2HPt (PBE-GGA)

Data for a relaxed ReTc2HPt crystal.

The structure in POSCAR format:
```
ReTc2HPt
1.0
3.9350 0.0000 0.0000
0.0000 3.9350 0.0000
0.0000 0.0000 3.9442
Tc Re Pt H
2 1 1 1
Cartesian
0.0000 1.9675 0.0000
1.9675 0.0000 0.0000
0.0000 0.0000 1.9721
1.9675 1.9675 1.9721
0.0000 0.0000 0.0000
```

Computed properties:
**Symmetry**: No. 123

=====

Entry 16:
## NiSb4Pt (PBE-GGA)

Data for a relaxed NiSb4Pt crystal.

The structure in POSCAR format:
```
NiSb4Pt
1.0
-3.0354 -2.2510 -5.2098
-3.3491 -4.0595 3.7053
-4.5684 4.4692 0.7672
Ni Sb Pt
2 8 2
Cartesian
-3.8019 1.1091 -2.2213
-3.9588 0.2048 2.2363
-4.0675 -0.6170 -0.2660
-4.7122 -3.8018 1.3907
-6.8854 -1.2244 -0.4713
-6.1414 -1.0367 2.9897
-5.3731 -3.8888 -2.1621
-6.2408 1.9605 -2.1280
-4.8115 -0.8047 -3.7269
-5.5798 2.0474 1.4249
0.0000 0.0000 0.0000
-3.1923 -3.1553 -0.7522
```

Computed properties:
**Symmetry**: No. 14
**Formation energy without anion corrections**: -329.5 meV per atom

=====

Entry 17:
## LiTbAlNi (PBE-GGA)

Data for a relaxed LiTbAlNi crystal.

The structure in POSCAR format:
```
LiTbAlNi
1.0
4.5653 0.0000 0.0000
2.2826 3.9536 0.0000
2.2826 1.3179 3.7275
Li Ni Al Tb
1 1 1 1
Cartesian
6.8479 3.9536 2.7956
2.2826 1.3179 0.9319
0.0000 0.0000 0.0000
4.5653 2.6358 1.8638
```

Computed properties:
**Symmetry**: No. 216
**E_form**: -0.34 eV/atom

=====

Entry 18:
## CeY4Tm (PBE-GGA)

Data for a relaxed CeY4Tm crystal.

The structure in POSCAR format:
```
CeY4Tm
1.0
3.3860 0.0000 0.0000
1.6930 5.7309 -0.0565
1.6930 0.3858 10.0714
Y Ce Tm
4 1 1
Cartesian
5.0789 5.6830 3.4046
3.3860 3.0843 1.5560
3.3860 3.0324 8.4589
1.6930 0.4337 6.6104
3.3860 3.0584 5.0075
0.0000 0.0000 0.0000
```

Computed properties:
**Symmetry**: No. 12
**E_form**: 0.22 eV/atom

=====

Entry 19:
## Dy6Hg12Pb (PBE-GGA)

Data for a relaxed Dy6Hg12Pb crystal.

The structure in POSCAR format:
```
Dy6Hg12Pb
1.0
7.9439 0.2595 0.3061
0.3080 7.9422 -0.3061
0.2579 -0.2595 7.9456
Hg Dy Pb
12 6 1
Cartesian
6.5939 4.5089 3.6629
3.7151 3.6502 1.6357
1.9159 3.4333 4.2828
6.8941 0.2710 3.2196
0.5595 4.7629 6.6074
4.7946 4.2919 6.3099
3.9483 6.3068 3.4189
7.9503 3.1793 1.3383
4.5615 1.6354 4.5268
1.6157 7.6712 4.7260
3.4793 6.6328 7.6521
5.0305 1.3094 0.2935
1.2476 5.5051 1.9701
2.2614 0.9545 2.4451
7.2622 2.4371 5.9755
2.7088 1.9961 6.9922
6.2484 6.9877 5.5006
5.8010 5.9461 0.9534
0.0000 0.0000 0.0000
```

Computed properties:
**Symmetry**: No. 148
**E_form**: -0.28 eV/atom

=====

Entry 20:
## SiNiSe (PBE-GGA)

Data for a relaxed SiNiSe crystal.

The structure in POSCAR format:
```
SiNiSe
1.0
4.1038 0.0000 0.0000
2.0519 3.5540 0.0000
2.0519 1.1847 3.3508
Se Ni Si
1 1 1
Cartesian
0.0000 0.0000 0.0000
6.1557 3.5540 2.5131
4.1038 2.3693 1.6754
```

Computed properties:
**Symmetry**: No. 216
**Formation energy without anion corrections**: -46.6 meV per atom

=====

| no. | VASP energy (eV for the cell shown) | total magnetization (μB per cell) |
| --- | --- | --- |
| 1 | -48.44 | 0.000 |
| 2 | -30.95 | 0.793 |
| 3 | -27.13 | 0.310 |
| 4 | -27.31 | 0.000 |
| 5 | -21.66 | 0.000 |
| 6 | -45.59 | 0.000 |
| 7 | -54.93 | 0.000 |
| 8 | -22.81 | 0.000 |
| 9 | -39.75 | 0.000 |
| 10 | -41.56 | 5.637 |
| 11 | -69.20 | 0.005 |
| 12 | -42.14 | 0.001 |
| 13 | -62.23 | 0.001 |
| 14 | -20.30 | 2.376 |
| 15 | -42.70 | 0.000 |
| 16 | -60.58 | 0.000 |
| 17 | -17.44 | 0.000 |
| 18 | -34.92 | 1.373 |
| 19 | -40.33 | 0.000 |
| 20 | -14.83 | 0.000 |